DFT (PBE) results for a relaxed CaZr2Cr crystal.

Results
total moment	0.700	μB/atom
calculated total energy	-26.55	eV/cell
calculated density	4.90	g/cm3
N(E_F)	5.5	states/eV per cell
relative energy among the computed polymorphs	302	meV per atom
crystal system	tetragonal

a b c (Å): 4.416 4.416 4.773
angles (deg): 90.00 90.00 90.00
Space group P4/mmm (No. 123)
One atom of each set of equivalent atoms:
Ca (0.000, 0.000, 0.000) (multiplicity 1)
Zr (0.000, 0.500, 0.500) (multiplicity 2)
Cr (0.500, 0.500, 0.000) (multiplicity 1)

***

DFT (PBE) results for a relaxed CaTl2Si crystal.

Results
total moment	0.000	μB/atom
calculated total energy	-24.43	eV/cell
calculated density	7.57	g/cm3
N(E_F)	3.3	states/eV per cell
relative energy among the computed polymorphs	41	meV per atom
crystal system	orthorhombic

a b c (Å): 4.284 4.815 10.142
angles (deg): 90.00 90.00 90.00
Space group Imm2 (No. 44)
One atom of each set of equivalent atoms:
Ca (0.000, 0.000, 0.000) (multiplicity 2)
Tl (0.000, 0.000, 0.434) (multiplicity 2)
Tl (0.000, 0.500, 0.215) (multiplicity 2)
Si (0.000, 0.500, 0.738) (multiplicity 2)